No. 1
AlIrC: optimized geometry, PBE-GGA.

Calculated values
magnetization: 0.0000 μB/atom

abc: 4.2230 4.3236 4.7776
angles: 85.98 75.96 63.29
Positions (direct):
C1 0.9185 0.5165 0.3637
C2 0.6856 0.5926 0.1702
Ir1 0.1232 0.9081 0.3619
Ir2 0.5909 0.7514 0.7806
Al1 0.3803 0.3176 0.5402
Al2 0.8840 0.0922 0.9144


No. 2
AlIrC: optimized geometry, PBE-GGA.

Calculated values
magnetization: 0.0000 μB/atom

abc: 3.9494 2.9051 6.8975
angles: 90.00 96.59 90.00
Positions (direct):
C1 0.8345 0.5000 0.4659
C2 0.7414 0.5000 0.6526
Ir1 0.2639 0.5000 0.7386
Ir2 0.8585 0.0000 0.2585
Al1 0.3367 0.5000 0.1123
Al2 0.7865 0.0000 0.8801


No. 3
AlIrC: optimized geometry, PBE-GGA.

Calculated values
magnetization: 0.0000 μB/atom

abc: 2.8398 11.4765 4.9222
angles: 90.00 90.00 90.00
Positions (direct):
C1 0.0000 0.4391 0.9134
C2 0.0000 0.5609 0.9134
C3 0.0000 0.9391 0.4134
C4 0.0000 0.0609 0.4134
Ir1 0.5000 0.6408 0.6652
Ir2 0.5000 0.3592 0.6652
Ir3 0.5000 0.1408 0.1652
Ir4 0.5000 0.8592 0.1652
Al1 0.0000 0.1703 0.7315
Al2 0.0000 0.8298 0.7315
Al3 0.0000 0.6702 0.2315
Al4 0.0000 0.3298 0.2315


No. 4
AlIr2C: optimized geometry, PBE-GGA.

Calculated values
magnetization: 0.0000 μB/atom

abc: 5.3021 5.3021 5.9019
angles: 63.31 63.31 90.00
Positions (direct):
C1 0.5000 0.5000 0.0000
C2 0.2500 0.7500 0.5000
Ir1 0.5427 0.1250 0.2500
Ir2 0.2073 0.6250 0.2500
Ir3 0.3750 0.4573 0.7500
Ir4 0.8750 0.7927 0.7500
Al1 0.0000 0.0000 0.0000
Al2 0.7500 0.2500 0.5000


no.,relative energy among the computed polymorphs (meV per atom)
1,216.8
2,183.1
3,127.2
4,0.0